No. 1
First-principles (PBE-GGA) data for crystalline Pm8CoC3Cl4 at its relaxed geometry, as listed in the Alexandria database.

Cell and atoms, written as POSCAR:
```
Pm8CoC3Cl4
1.0
-4.991 2.644 -5.169
-6.316 -2.055 5.048
5.397 4.637 2.831
C Pm Cl Co
3 8 4 1
Direct
0.000 0.500 0.500
0.500 0.500 0.500
0.500 0.500 0.000
0.762 0.305 0.524
0.731 0.692 0.461
0.238 0.695 0.958
0.762 0.305 0.042
0.280 0.305 0.042
0.720 0.695 0.958
0.238 0.695 0.476
0.269 0.308 0.539
0.000 0.000 0.000
0.500 0.000 0.500
0.000 0.000 0.500
0.500 0.000 0.000
0.000 0.500 0.000
```

Summary:
Energy relative to the elements, uncorrected, meV/atom: -933
E_tot, eV/atom: -5.944

---

No. 2
First-principles (PBE-GGA) data for crystalline Pr8Co3CCl4 at its relaxed geometry, as listed in the Alexandria database.

Cell and atoms, written as POSCAR:
```
Pr8Co3CCl4
1.0
7.931 0.000 0.000
0.000 8.787 0.574
-3.966 -3.959 5.623
Cl C Co Pr
4 1 3 8
Direct
0.000 0.000 0.500
0.500 0.000 0.000
0.000 0.000 0.000
0.500 0.000 0.500
0.000 0.500 0.000
0.000 0.500 0.500
0.500 0.500 0.500
0.500 0.500 0.000
0.774 0.306 0.031
0.264 0.293 0.528
0.226 0.694 0.969
0.743 0.694 0.969
0.736 0.707 0.472
0.257 0.306 0.031
0.226 0.694 0.451
0.774 0.306 0.549
```

Summary:
Energy relative to the elements, uncorrected, meV/atom: -818
E_tot, eV/atom: -5.579

---

No. 3
First-principles (PBE-GGA) data for crystalline Rb2CoCCl6 at its relaxed geometry, as listed in the Alexandria database.

Cell and atoms, written as POSCAR:
```
Rb2CoCCl6
1.0
6.858 0.000 0.000
0.000 6.858 0.000
3.429 3.429 4.858
Cl Rb C Co
6 2 1 1
Direct
0.252 0.748 0.000
0.251 0.251 0.497
0.748 0.252 0.000
0.748 0.748 0.000
0.749 0.749 0.503
0.252 0.252 0.000
0.250 0.750 0.500
0.750 0.250 0.500
0.500 0.500 0.000
0.000 0.000 0.000
```

Summary:
Energy relative to the elements, uncorrected, meV/atom: -479
E_tot, eV/atom: -3.413

---

No. 4
First-principles (PBE-GGA) data for crystalline Sm6CoC2Cl3 at its relaxed geometry, as listed in the Alexandria database.

Cell and atoms, written as POSCAR:
```
Sm6CoC2Cl3
1.0
-1.737 -3.339 -0.058
7.138 -3.666 -2.691
0.722 1.590 9.007
C Sm Cl Co
2 6 3 1
Direct
0.829 0.660 0.659
0.171 0.340 0.341
0.319 0.449 0.638
0.019 0.235 0.039
0.981 0.765 0.961
0.660 0.128 0.320
0.681 0.551 0.362
0.340 0.872 0.680
0.831 0.174 0.662
0.169 0.826 0.338
0.500 0.500 0.000
0.500 0.000 0.000
```

Summary:
Energy relative to the elements, uncorrected, meV/atom: -934
E_tot, eV/atom: -5.885